VASP calculation (PBE with a Hubbard U) on Ca2PmMnO4 after structural relaxation.

Output
Total moment, μB per atom: 0.56
Raw total energy, eV/cell: -56.04
N(E_F), states/eV/f.u.: 1.17

Cell lengths 5.860, 3.401, 5.943 Å; angles 90.00, 109.29, 90.00 degrees
Space group P2/m (No. 10)
Asymmetric unit:
Ca1 0.000 0.000 0.000 [1 per cell]
Ca2 0.500 0.500 0.000 [1 per cell]
Pm1 0.000 0.500 0.500 [1 per cell]
Mn1 0.500 0.000 0.500 [1 per cell]
O1 0.257 0.000 0.755 [2 per cell]
O2 0.258 0.500 0.258 [2 per cell]